1.
## AcPrEuSc (PBE)

Data for AcPrEuSc after structural relaxation.

abc: 5.893 5.893 5.893
angles: 60.00 60.00 60.00
Element x y z (fractional)
Ac 0.500 0.500 0.500
Sc 0.000 0.000 0.000
Pr 0.750 0.750 0.750
Eu 0.250 0.250 0.250

Properties
Symmetry ... No. 216
Calculated total energy ... -24.7 eV per cell
Calculated density ... 6.48 g/cm3

2.
## PmTh2ScBi4 (PBE)

Data for PmTh2ScBi4 after structural relaxation.

abc: 4.536 7.849 7.785
angles: 109.74 90.00 90.00
Element x y z (fractional)
Bi 0.000 0.736 0.234
Bi 0.500 0.745 0.760
Bi 0.000 0.264 0.766
Bi 0.500 0.255 0.240
Pm 0.000 0.000 0.000
Th 0.500 0.000 0.500
Th 0.000 0.500 0.500
Sc 0.500 0.500 0.000

Properties
Symmetry ... No. 10
Calculated total energy ... -46.8 eV per cell
Calculated density ... 9.48 g/cm3

3.
## NpNbAs3 (PBE)

Data for NpNbAs3 after structural relaxation.

abc: 5.769 5.779 12.246
angles: 90.00 90.00 90.00
Element x y z (fractional)
Np 0.250 0.511 0.319
Np 0.750 0.489 0.681
Np 0.750 0.989 0.319
Np 0.250 0.011 0.681
As 0.250 0.512 0.763
As 0.250 0.628 0.087
As 0.500 0.750 0.503
As 0.000 0.250 0.497
As 0.250 0.012 0.237
As 0.750 0.488 0.237
As 0.750 0.988 0.763
As 0.000 0.750 0.503
As 0.750 0.372 0.913
As 0.500 0.250 0.497
As 0.250 0.128 0.913
As 0.750 0.872 0.087
Nb 0.000 0.250 0.084
Nb 0.500 0.750 0.916
Nb 0.000 0.750 0.916
Nb 0.500 0.250 0.084

Properties
Symmetry ... No. 57
Calculated total energy ... -158.2 eV per cell
Calculated density ... 9.02 g/cm3

4.
## CaFe2Tc (PBE)

Data for CaFe2Tc after structural relaxation.

abc: 9.094 9.094 9.094
angles: 18.15 18.15 18.15
Element x y z (fractional)
Ca 0.750 0.750 0.750
Fe 0.510 0.510 0.510
Fe 0.990 0.990 0.990
Tc 0.250 0.250 0.250

Properties
Symmetry ... No. 166
Energy relative to the lowest polymorph listed for this composition ... 1.31 eV/f.u.
Calculated total energy ... -26.5 eV per cell
Calculated density ... 6.51 g/cm3